Entry 1:
Computed, not measured: an optimized crystal structure of MnOs2Pb at the GGA-PBE level of DFT.

Computed properties:
**Raw total energy**: -8.23 eV per atom
**DOS(E_F)**: 0.93 states/eV per atom
**Energy of formation from the pure elements**: 0.606 eV per atom

abc: 8.864 2.960 5.151
angles: 90.00 100.54 90.00
Space group C2/m (No. 12)
Unique sites:
Mn1 0.000 0.000 0.000
Os1 0.233 0.500 0.201
Pb1 0.000 0.500 0.500


Entry 2:
Computed, not measured: an optimized crystal structure of Mn2OsPb at the GGA-PBE level of DFT.

Computed properties:
**Raw total energy**: -7.89 eV per atom
**DOS(E_F)**: 1.16 states/eV per atom
**Energy of formation from the pure elements**: 0.431 eV per atom

abc: 3.005 3.005 7.850
angles: 90.00 90.00 90.00
Space group P4/mmm (No. 123)
Unique sites:
Mn1 0.000 0.000 0.197
Os1 0.500 0.500 0.000
Pb1 0.500 0.500 0.500


Entry 3:
Computed, not measured: an optimized crystal structure of Mn2OsPbSe at the GGA-PBE level of DFT.

Computed properties:
**Energy relative to the elements, uncorrected**: 2.1524 eV per atom
**Polymorph energy (0 for the lowest one)**: 1339.3 meV per atom
**Raw total energy**: -5.20 eV per atom
**DOS(E_F)**: 1.04 states/eV per atom

abc: 5.135 5.135 5.452
angles: 90.00 90.00 90.00
Space group P4/mmm (No. 123)
Unique sites:
Mn1 0.000 0.500 0.000
Os1 0.000 0.000 0.500
Pb1 0.500 0.500 0.000
Se1 0.500 0.500 0.500


Entry 4:
Computed, not measured: an optimized crystal structure of Mn2OsPbSe at the GGA-PBE level of DFT.

Computed properties:
**Energy relative to the elements, uncorrected**: 0.8131 eV per atom
**Polymorph energy (0 for the lowest one)**: 0.0 meV per atom
**Raw total energy**: -6.54 eV per atom
**DOS(E_F)**: 0.86 states/eV per atom

abc: 4.630 4.630 4.673
angles: 90.00 90.00 90.00
Space group P4/mmm (No. 123)
Unique sites:
Mn1 0.000 0.500 0.000
Os1 0.000 0.000 0.500
Pb1 0.500 0.500 0.500
Se1 0.000 0.000 0.000